## LaTa2Rh (PBE)

Data for LaTa2Rh after structural relaxation.

a b c (Å): 3.0287 5.1288 5.3064
angles (deg): 90.00 101.71 90.00
With the nearest neighbours (Å) after each atom.
Space group P2/m (No. 10)
Symmetry-distinct sites (fractional):
1 La 0.0000 0.0000 0.0000 (multiplicity 1)  2 Rh 2.78, 2 La 3.03
2 Ta 0.2868 0.5000 0.7326 (multiplicity 2)  5 Ta 2.71-3.03, 2 Rh 2.97
3 Rh 0.5000 0.0000 0.5000 (multiplicity 1)  2 La 2.78, 4 Ta 2.97, 2 Rh 3.03

Mass density ... 12.42 g/cm3
DFT total energy ... -8.76 eV/atom
DFT formation energy ... 0.234 eV/atom
Energy relative to the lowest polymorph listed for this composition ... 0.306 eV/atom